! HfIn2Sn2 GGA-PBE relaxed; values from VASP
&SYSTEM
  ibrav = 0, nat = 10, ntyp = 3
/
ATOMIC_SPECIES
Hf 178.49 Hf.upf
Sn 118.71 Sn.upf
In 114.82 In.upf
ATOMIC_POSITIONS crystal
Hf 0.000 0.000 0.000
Hf 0.500 0.500 0.000
Sn 0.356 0.856 0.000
Sn 0.856 0.644 0.000
Sn 0.644 0.144 0.000
Sn 0.144 0.356 0.000
In 0.164 0.664 0.500
In 0.664 0.836 0.500
In 0.836 0.336 0.500
In 0.336 0.164 0.500
CELL_PARAMETERS angstrom
-2.223 -7.305 -1.392
6.569 -2.610 3.206
-1.893 -0.141 3.765
! Space group: P4/mbm
! Magnetization: 0.0000 μB per atom
! Formation enthalpy at 0 K: 0.15 eV per atom



! HfInSn2 GGA-PBE relaxed; values from VASP
&SYSTEM
  ibrav = 0, nat = 4, ntyp = 3
/
ATOMIC_SPECIES
Hf 178.49 Hf.upf
In 114.82 In.upf
Sn 118.71 Sn.upf
ATOMIC_POSITIONS crystal
Hf 0.667 0.667 0.999
In 0.496 0.496 0.513
Sn 0.077 0.077 0.770
Sn 0.260 0.260 0.219
CELL_PARAMETERS angstrom
4.542 0.000 0.000
2.271 3.933 0.000
2.271 1.311 6.089
! Space group: R3m
! Magnetization: 0.0000 μB per atom
! Formation enthalpy at 0 K: 0.11 eV per atom



! Hf2InSn2 GGA-PBE relaxed; values from VASP
&SYSTEM
  ibrav = 0, nat = 10, ntyp = 3
/
ATOMIC_SPECIES
Hf 178.49 Hf.upf
Sn 118.71 Sn.upf
In 114.82 In.upf
ATOMIC_POSITIONS crystal
Hf 0.128 0.628 0.500
Hf 0.628 0.872 0.500
Hf 0.872 0.372 0.500
Hf 0.372 0.128 0.500
Sn 0.334 0.834 0.000
Sn 0.834 0.666 0.000
Sn 0.666 0.166 0.000
Sn 0.166 0.334 0.000
In 0.000 0.000 0.000
In 0.500 0.500 0.000
CELL_PARAMETERS angstrom
-6.067 6.254 -0.454
-4.552 -3.959 6.303
1.571 1.683 2.192
! Space group: P4/mbm
! Energy above the lowest structure with this stoichiometry: 31 kJ/mol of formula units
! Magnetization: 0.0000 μB per atom
! Formation enthalpy at 0 K: -0.06 eV per atom



! HfInSn2 GGA-PBE relaxed; values from VASP
&SYSTEM
  ibrav = 0, nat = 4, ntyp = 3
/
ATOMIC_SPECIES
Hf 178.49 Hf.upf
Sn 118.71 Sn.upf
In 114.82 In.upf
ATOMIC_POSITIONS crystal
Hf 0.500 0.500 0.000
Sn 0.000 0.000 0.763
Sn 0.000 0.000 0.237
In 0.500 0.500 0.500
CELL_PARAMETERS angstrom
3.906 0.000 0.000
0.000 3.906 0.000
0.000 0.000 6.247
! Space group: P4/mmm
! Magnetization: 0.0000 μB per atom
! Formation enthalpy at 0 K: -0.10 eV per atom



! HfInSn2 GGA-PBE relaxed; values from VASP
&SYSTEM
  ibrav = 0, nat = 8, ntyp = 3
/
ATOMIC_SPECIES
Hf 178.49 Hf.upf
Sn 118.71 Sn.upf
In 114.82 In.upf
ATOMIC_POSITIONS crystal
Hf 0.000 0.000 0.000
Hf 0.750 0.250 0.500
Sn 0.634 0.125 0.250
Sn 0.116 0.625 0.250
Sn 0.375 0.366 0.750
Sn 0.875 0.884 0.750
In 0.500 0.500 0.000
In 0.250 0.750 0.500
CELL_PARAMETERS angstrom
8.255 0.000 0.000
0.000 8.255 0.000
4.128 4.128 3.057
! Space group: I-42d
! Magnetization: 0.0000 μB per atom
! Formation enthalpy at 0 K: 0.18 eV per atom



! Hf5In2Sn GGA-PBE relaxed; values from VASP
&SYSTEM
  ibrav = 0, nat = 16, ntyp = 3
/
ATOMIC_SPECIES
Hf 178.49 Hf.upf
In 114.82 In.upf
Sn 118.71 Sn.upf
ATOMIC_POSITIONS crystal
Hf 0.493 0.687 0.679
Hf 0.813 0.007 0.321
Hf 0.000 0.000 0.000
Hf 0.500 0.500 0.000
Hf 0.187 0.993 0.679
Hf 0.687 0.187 0.679
Hf 0.993 0.493 0.679
Hf 0.313 0.813 0.321
Hf 0.007 0.507 0.321
Hf 0.507 0.313 0.321
In 0.142 0.358 0.000
In 0.642 0.142 0.000
In 0.358 0.858 0.000
In 0.858 0.642 0.000
Sn 0.750 0.750 0.500
Sn 0.250 0.250 0.500
CELL_PARAMETERS angstrom
-4.827 -4.954 -2.954
5.262 -2.205 -4.900
1.756 -0.776 8.006
! Space group: I4/mcm
! Magnetization: 0.0000 μB per atom
! Formation enthalpy at 0 K: -0.14 eV per atom



! Hf2InSn2 GGA-PBE relaxed; values from VASP
&SYSTEM
  ibrav = 0, nat = 10, ntyp = 3
/
ATOMIC_SPECIES
Hf 178.49 Hf.upf
Sn 118.71 Sn.upf
In 114.82 In.upf
ATOMIC_POSITIONS crystal
Hf 0.360 0.860 0.000
Hf 0.860 0.640 0.000
Hf 0.640 0.140 0.000
Hf 0.140 0.360 0.000
Sn 0.162 0.662 0.500
Sn 0.662 0.838 0.500
Sn 0.838 0.338 0.500
Sn 0.338 0.162 0.500
In 0.000 0.000 0.000
In 0.500 0.500 0.000
CELL_PARAMETERS angstrom
-3.387 -5.976 3.427
5.342 -4.690 -2.899
2.293 0.582 3.282
! Space group: P4/mbm
! Energy above the lowest structure with this stoichiometry: 0 kJ/mol of formula units
! Magnetization: 0.0000 μB per atom
! Formation enthalpy at 0 K: -0.12 eV per atom



! Hf7In4Sn GGA-PBE relaxed; values from VASP
&SYSTEM
  ibrav = 0, nat = 12, ntyp = 3
/
ATOMIC_SPECIES
Hf 178.49 Hf.upf
In 114.82 In.upf
Sn 118.71 Sn.upf
ATOMIC_POSITIONS crystal
Hf 0.795 0.911 0.499
Hf 0.205 0.089 0.501
Hf 0.029 0.623 0.319
Hf 0.971 0.377 0.681
Hf 0.352 0.543 0.754
Hf 0.500 0.000 0.000
Hf 0.648 0.457 0.246
In 0.587 0.223 0.602
In 0.413 0.777 0.398
In 0.719 0.684 0.877
In 0.281 0.316 0.123
Sn 0.000 0.000 0.000
CELL_PARAMETERS angstrom
5.393 0.000 0.000
2.696 9.710 -0.148
2.696 0.202 5.506
! Space group: C2/m
! Magnetization: 0.0001 μB per atom
! Formation enthalpy at 0 K: 0.17 eV per atom



! Hf3In2Sn GGA-PBE relaxed; values from VASP
&SYSTEM
  ibrav = 0, nat = 12, ntyp = 3
/
ATOMIC_SPECIES
Hf 178.49 Hf.upf
In 114.82 In.upf
Sn 118.71 Sn.upf
ATOMIC_POSITIONS crystal
Hf 0.750 0.152 0.848
Hf 0.750 0.088 0.426
Hf 0.250 0.426 0.088
Hf 0.750 0.574 0.912
Hf 0.250 0.912 0.574
Hf 0.250 0.848 0.152
In 0.000 0.243 0.243
In 0.500 0.243 0.243
In 0.000 0.757 0.757
In 0.500 0.757 0.757
Sn 0.250 0.327 0.673
Sn 0.750 0.673 0.327
CELL_PARAMETERS angstrom
5.637 0.000 0.000
0.000 8.253 -2.499
0.000 -4.511 7.349
! Space group: Cmcm
! Energy above the lowest structure with this stoichiometry: 60 kJ/mol of formula units
! Magnetization: 0.0000 μB per atom
! Formation enthalpy at 0 K: 0.05 eV per atom



! Hf6InSn GGA-PBE relaxed; values from VASP
&SYSTEM
  ibrav = 0, nat = 8, ntyp = 3
/
ATOMIC_SPECIES
Hf 178.49 Hf.upf
In 114.82 In.upf
Sn 118.71 Sn.upf
ATOMIC_POSITIONS crystal
Hf 0.000 0.500 0.751
Hf 0.750 0.000 0.751
Hf 0.500 0.250 0.250
Hf 0.250 0.000 0.249
Hf 0.000 0.500 0.249
Hf 0.500 0.750 0.750
In 0.500 0.500 0.500
Sn 0.000 0.000 0.000
CELL_PARAMETERS angstrom
7.900 0.015 0.297
3.937 6.853 0.201
3.824 2.265 3.389
! Space group: Pm-3
! Energy above the lowest structure with this stoichiometry: 22 kJ/mol of formula units
! Magnetization: 0.0000 μB per atom
! Formation enthalpy at 0 K: -0.16 eV per atom



! Hf2VInSn GGA-PBE relaxed; values from VASP
&SYSTEM
  ibrav = 0, nat = 5, ntyp = 4
/
ATOMIC_SPECIES
V 50.94 V.upf
Hf 178.49 Hf.upf
Sn 118.71 Sn.upf
In 114.82 In.upf
ATOMIC_POSITIONS crystal
V 0.500 0.500 0.500
Hf 0.000 0.000 0.500
Hf 0.500 0.000 0.000
Sn 0.000 0.500 0.000
In 0.000 0.000 0.000
CELL_PARAMETERS angstrom
5.221 0.000 0.000
0.000 5.170 0.000
0.000 0.000 5.221
! Space group: P4/mmm
! Magnetization: 0.0129 μB per atom
! Formation enthalpy at 0 K: 1.69 eV per atom



! Y2HfInSn GGA-PBE relaxed; values from VASP
&SYSTEM
  ibrav = 0, nat = 5, ntyp = 4
/
ATOMIC_SPECIES
Y 88.91 Y.upf
Hf 178.49 Hf.upf
Sn 118.71 Sn.upf
In 114.82 In.upf
ATOMIC_POSITIONS crystal
Y 0.000 0.000 0.500
Y 0.500 0.000 0.000
Hf 0.000 0.500 0.000
Sn 0.000 0.000 0.000
In 0.500 0.500 0.500
CELL_PARAMETERS angstrom
5.596 0.000 0.000
0.000 5.327 0.000
0.000 0.000 5.596
! Space group: P4/mmm
! Magnetization: 0.0000 μB per atom
! Formation enthalpy at 0 K: 0.32 eV per atom